No. 1
Here is a relaxed LaCe2PaSb4 crystal from the Alexandria database. Energies are from PBE.

Unit cell a=7.787 b=4.478 c=7.811 alpha=90.00 beta=109.20 gamma=90.00
Sites, in units of the cell vectors:
La: 0.000 0.000 0.000
Ce: 0.000 0.500 0.500
Ce: 0.500 0.000 0.500
Pa: 0.500 0.500 0.000
Sb: 0.259 0.000 0.755
Sb: 0.259 0.500 0.251
Sb: 0.741 0.000 0.245
Sb: 0.741 0.500 0.749

The volume is 257 Å³/f.u. The calculation puts the formation energy without anion corrections at -0.937 eV per atom. As for the density of states at the Fermi level: 20.23 states/eV per cell.

No. 2
Here is a relaxed Ta2TiZnH crystal from the Alexandria database. Energies are from PBE.

Unit cell a=4.039 b=4.039 c=4.269 alpha=90.00 beta=90.00 gamma=90.00
Sites, in units of the cell vectors:
Ta: 0.000 0.500 0.000
Ta: 0.500 0.000 0.000
Ti: 0.000 0.000 0.500
Zn: 0.500 0.500 0.500
H: 0.000 0.000 0.000

The volume is 70 Å³/f.u. The value obtained for the energy above the most stable polymorph in this dataset is 0.00 eV/f.u. As for the density of states at the Fermi level: 4.36 states/eV per cell.

No. 3
Here is a relaxed LiEu2Cd crystal from the Alexandria database. Energies are from PBE.

Unit cell a=5.599 b=5.599 c=5.599 alpha=60.00 beta=60.00 gamma=60.00
Sites, in units of the cell vectors:
Li: 0.000 0.000 0.000
Eu: 0.250 0.250 0.250
Eu: 0.750 0.750 0.750
Cd: 0.500 0.500 0.500

The volume is 124 Å³/f.u. As for the density of states at the Fermi level: 5.27 states/eV per cell. Its formation energy is -154 meV per atom.

No. 4
Here is a relaxed Fe2MoCl crystal from the Alexandria database. Energies are from PBE.

Unit cell a=2.854 b=3.888 c=5.089 alpha=90.00 beta=105.09 gamma=90.00
Sites, in units of the cell vectors:
Fe: 0.086 0.000 0.238
Fe: 0.914 0.000 0.762
Mo: 0.500 0.500 0.000
Cl: 0.000 0.500 0.500

The volume is 55 Å³/f.u. The value obtained for the energy above the most stable polymorph in this dataset is 1.53 eV/f.u. The calculation puts the formation energy without anion corrections at 0.556 eV per atom. As for the density of states at the Fermi level: 3.95 states/eV per cell.

No. 5
Here is a relaxed ReAuSe2 crystal from the Alexandria database. Energies are from PBE.

Unit cell a=4.694 b=4.694 c=4.694 alpha=60.00 beta=60.00 gamma=60.00
Sites, in units of the cell vectors:
Re: 0.000 0.000 0.000
Au: 0.750 0.750 0.750
Se: 0.250 0.250 0.250
Se: 0.500 0.500 0.500

The volume is 73 Å³/f.u. The value obtained for the energy above the most stable polymorph in this dataset is 3.69 eV/f.u. The calculation puts the formation energy without anion corrections at 1.035 eV per atom. As for the density of states at the Fermi level: 2.89 states/eV per cell.

No. 6
Here is a relaxed Ag3Ru5 crystal from the Alexandria database. Energies are from PBE.

Unit cell a=7.732 b=7.732 c=8.008 alpha=95.06 beta=95.06 gamma=144.06
Sites, in units of the cell vectors:
Ag: 0.201 0.799 0.000
Ag: 0.204 0.796 0.500
Ag: 0.287 0.287 0.591
Ag: 0.713 0.713 0.409
Ag: 0.796 0.204 0.500
Ag: 0.799 0.201 0.000
Ru: 0.079 0.253 0.273
Ru: 0.230 0.230 0.956
Ru: 0.253 0.079 0.273
Ru: 0.280 0.556 0.828
Ru: 0.444 0.720 0.172
Ru: 0.556 0.280 0.828
Ru: 0.720 0.444 0.172
Ru: 0.747 0.921 0.727
Ru: 0.770 0.770 0.044
Ru: 0.921 0.747 0.727

The volume is 135 Å³/f.u. The value obtained for the energy above the most stable polymorph in this dataset is 0.00 eV/f.u. As for the density of states at the Fermi level: 15.98 states/eV per cell. Its formation energy is 643 meV per atom.

No. 7
Here is a relaxed Ac9La2Er crystal from the Alexandria database. Energies are from PBE.

Unit cell a=5.527 b=5.527 c=16.630 alpha=90.00 beta=90.00 gamma=90.00
Sites, in units of the cell vectors:
Ac: 0.000 0.000 0.000
Ac: 0.000 0.000 0.331
Ac: 0.000 0.000 0.669
Ac: 0.000 0.500 0.163
Ac: 0.000 0.500 0.500
Ac: 0.000 0.500 0.837
Ac: 0.500 0.000 0.163
Ac: 0.500 0.000 0.500
Ac: 0.500 0.000 0.837
La: 0.500 0.500 0.331
La: 0.500 0.500 0.669
Er: 0.500 0.500 0.000

The volume is 508 Å³/f.u. As for the density of states at the Fermi level: 21.36 states/eV per cell. Its formation energy is 25 meV per atom.

No. 8
Here is a relaxed LiSbPd2 crystal from the Alexandria database. Energies are from PBE.

Unit cell a=9.364 b=9.364 c=9.364 alpha=155.25 beta=155.25 gamma=35.29
Sites, in units of the cell vectors:
Li: 0.000 0.000 0.000
Li: 0.750 0.250 0.500
Sb: 0.250 0.750 0.500
Sb: 0.500 0.500 0.000
Pd: 0.119 0.625 0.994
Pd: 0.375 0.369 0.494
Pd: 0.631 0.125 0.006
Pd: 0.875 0.881 0.506

The volume is 72 Å³/f.u. The calculation puts the formation energy without anion corrections at -0.264 eV per atom. As for the density of states at the Fermi level: 5.21 states/eV per cell.

No. 9
Here is a relaxed GdYSc2 crystal from the Alexandria database. Energies are from PBE.

Unit cell a=3.866 b=3.866 c=7.566 alpha=90.00 beta=90.00 gamma=90.00
Sites, in units of the cell vectors:
Gd: 0.000 0.000 0.000
Y: 0.000 0.000 0.500
Sc: 0.500 0.500 0.248
Sc: 0.500 0.500 0.752

The volume is 113 Å³/f.u. The value obtained for the energy above the most stable polymorph in this dataset is 0.09 eV/f.u. As for the density of states at the Fermi level: 5.56 states/eV per cell. Its formation energy is 78 meV per atom.

No. 10
Here is a relaxed SrMnCu2 crystal from the Alexandria database. Energies are from PBE.

Unit cell a=9.102 b=9.102 c=9.102 alpha=149.43 beta=149.43 gamma=43.78
Sites, in units of the cell vectors:
Sr: 0.375 0.625 0.750
Sr: 0.625 0.375 0.250
Mn: 0.125 0.875 0.250
Mn: 0.875 0.125 0.750
Cu: 0.000 0.000 0.000
Cu: 0.000 0.000 0.500
Cu: 0.000 0.500 0.000
Cu: 0.500 0.000 0.500

The volume is 97 Å³/f.u. As for the density of states at the Fermi level: 4.57 states/eV per cell. Its formation energy is 344 meV per atom.

No. 11
Here is a relaxed ZnSiAg2 crystal from the Alexandria database. Energies are from PBE.

Unit cell a=4.054 b=4.054 c=4.015 alpha=90.00 beta=90.00 gamma=90.00
Sites, in units of the cell vectors:
Zn: 0.000 0.000 0.000
Si: 0.500 0.500 0.000
Ag: 0.000 0.500 0.500
Ag: 0.500 0.000 0.500

The volume is 66 Å³/f.u. The value obtained for the energy above the most stable polymorph in this dataset is 0.21 eV/f.u. The calculation puts the formation energy without anion corrections at 0.181 eV per atom. As for the density of states at the Fermi level: 1.61 states/eV per cell.

No. 12
Here is a relaxed CoNi2Br crystal from the Alexandria database. Energies are from PBE.

Unit cell a=4.988 b=4.988 c=4.988 alpha=145.55 beta=130.17 gamma=61.99
Sites, in units of the cell vectors:
Co: 0.000 0.000 0.000
Ni: 0.254 0.754 0.500
Ni: 0.521 0.521 0.000
Br: 0.768 0.268 0.500

The volume is 53 Å³/f.u. The value obtained for the energy above the most stable polymorph in this dataset is 1.19 eV/f.u. The calculation puts the formation energy without anion corrections at 0.686 eV per atom. As for the density of states at the Fermi level: 7.44 states/eV per cell.